Entry 1:
LiPrTlAg | PBE | relaxed

abc: 7.310 7.310 7.310
angles: 90.00 90.00 90.00
Space group F-43m (No. 216)
One atom of each set of equivalent atoms:
Li  0.000  0.000  0.000 (multiplicity 4)
Pr  0.000  0.000  0.500 (multiplicity 4)
Tl  0.250  0.250  0.750 (multiplicity 4)
Ag  0.250  0.250  0.250 (multiplicity 4)

Values from the calculation:
VASP energy = -0.119 hartree per atom



Entry 2:
PaGaCo3B | PBE | relaxed

abc: 5.156 10.946 5.754
angles: 90.00 90.00 90.00
Space group Cmcm (No. 63)
One atom of each set of equivalent atoms:
Pa  0.000  0.214  0.250 (multiplicity 4)
Ga  0.000  0.125  0.750 (multiplicity 4)
Co  0.000  0.336  0.750 (multiplicity 4)
Co  0.243  0.500  0.000 (multiplicity 8)
B  0.000  0.474  0.250 (multiplicity 4)

Values from the calculation:
VASP energy = -0.261 hartree per atom



Entry 3:
AlZn2Re | PBE | relaxed

abc: 3.368 3.368 5.233
angles: 90.00 90.00 90.00
Space group P4/mmm (No. 123)
One atom of each set of equivalent atoms:
Al  0.000  0.000  0.000 (multiplicity 1)
Zn  0.500  0.500  0.259 (multiplicity 2)
Re  0.000  0.000  0.500 (multiplicity 1)

Values from the calculation:
VASP energy = -0.164 hartree per atom



Entry 4:
MnRe | PBE | relaxed

abc: 4.961 4.961 4.615
angles: 90.00 90.00 90.00
Space group P4_2/mnm (No. 136)
One atom of each set of equivalent atoms:
Mn  0.182  0.182  0.000 (multiplicity 4)
Re  0.189  0.189  0.500 (multiplicity 4)

Values from the calculation:
VASP energy = -0.362 hartree per atom



Entry 5:
Tl2ReW | PBE | relaxed

abc: 2.908 2.908 9.110
angles: 90.00 90.00 90.00
Space group P4/mmm (No. 123)
One atom of each set of equivalent atoms:
Tl  0.000  0.000  0.245 (multiplicity 2)
Re  0.500  0.500  0.000 (multiplicity 1)
W  0.500  0.500  0.500 (multiplicity 1)

Values from the calculation:
VASP energy = -0.226 hartree per atom



Entry 6:
TbPm2Br | PBE | relaxed

abc: 3.6981 3.6981 31.5405
angles: 90.00 90.00 120.00
Space group R-3m (No. 166, hexagonal axes)
One atom of each set of equivalent atoms:
Tb  0.0000  0.0000  0.0000 (multiplicity 3)
Pm  0.0000  0.0000  0.2424 (multiplicity 6)
Br  0.0000  0.0000  0.5000 (multiplicity 3)

Values from the calculation:
formation energy from raw total energies = -2.19 eV per formula unit



Entry 7:
NbIrPdI | PBE | relaxed

abc: 5.790 3.351 9.455
angles: 90.00 101.67 90.00
Space group Cm (No. 8)
One atom of each set of equivalent atoms:
Nb  0.000  0.000  0.000 (multiplicity 2)
Ir  0.109  0.500  0.827 (multiplicity 2)
Pd  0.402  0.000  0.209 (multiplicity 2)
I  0.015  0.500  0.522 (multiplicity 2)

Values from the calculation:
formation energy from raw total energies = 0.58 eV per formula unit



Entry 8:
K3Te2Se2 | PBE | relaxed

abc: 5.330 5.743 8.869
angles: 84.81 87.85 73.58
Space group P-1 (No. 2)
One atom of each set of equivalent atoms:
K  0.000  0.000  0.000 (multiplicity 1)
K  0.214  0.451  0.710 (multiplicity 2)
Te  0.247  0.009  0.432 (multiplicity 2)
Se  0.409  0.366  0.086 (multiplicity 2)

Values from the calculation:
formation energy from raw total energies = -5.16 eV per formula unit



Entry 9:
PmYHo2Tm | PBE | relaxed

abc: 8.336 11.446 7.183
angles: 90.00 90.00 90.00
Space group Cmcm (No. 63)
One atom of each set of equivalent atoms:
Pm  0.000  0.222  0.250 (multiplicity 4)
Y  0.000  0.230  0.750 (multiplicity 4)
Ho  0.191  0.000  0.000 (multiplicity 8)
Tm  0.000  0.491  0.250 (multiplicity 4)

Values from the calculation:
VASP energy = -0.169 hartree per atom



Entry 10:
Ba2LiTePt | PBE | relaxed

abc: 6.073 6.073 4.832
angles: 90.00 90.00 90.00
Space group P4/mmm (No. 123)
One atom of each set of equivalent atoms:
Ba  0.000  0.500  0.000 (multiplicity 2)
Li  0.000  0.000  0.500 (multiplicity 1)
Te  0.500  0.500  0.500 (multiplicity 1)
Pt  0.000  0.000  0.000 (multiplicity 1)

Values from the calculation:
formation energy from raw total energies = -4.41 eV per formula unit



Entry 11:
Hf2TaHg | PBE | relaxed

abc: 3.1696 3.1696 29.2297
angles: 90.00 90.00 120.00
Space group R3m (No. 160, hexagonal axes)
One atom of each set of equivalent atoms:
Hf  0.0000  0.0000  0.0000 (multiplicity 3)
Hf  0.0000  0.0000  0.1615 (multiplicity 3)
Ta  0.0000  0.0000  0.7478 (multiplicity 3)
Hg  0.0000  0.0000  0.5805 (multiplicity 3)

Values from the calculation:
VASP energy = -0.292 hartree per atom



Entry 12:
Th5PaOs4 | PBE | relaxed

abc: 17.746 4.147 7.896
angles: 90.00 107.16 90.00
Space group C2/m (No. 12)
One atom of each set of equivalent atoms:
Th  0.000  0.000  0.000 (multiplicity 2)
Th  0.165  0.500  0.848 (multiplicity 4)
Th  0.166  0.500  0.359 (multiplicity 4)
Pa  0.000  0.000  0.500 (multiplicity 2)
Os  0.000  0.500  0.251 (multiplicity 4)
Os  0.173  0.000  0.618 (multiplicity 4)

Values from the calculation:
VASP energy = -0.345 hartree per atom



Entry 13:
Tl2TeF2 | PBE | relaxed

abc: 4.046 4.046 13.579
angles: 90.00 90.00 90.00
Space group I4/mmm (No. 139)
One atom of each set of equivalent atoms:
Tl  0.000  0.000  0.138 (multiplicity 4)
Te  0.000  0.000  0.500 (multiplicity 2)
F  0.000  0.500  0.250 (multiplicity 4)

Values from the calculation:
formation energy from raw total energies = -5.71 eV per formula unit



Entry 14:
Er6Zn2Ga | PBE | relaxed

abc: 9.559 9.797 9.811
angles: 90.00 90.00 90.00
Space group Immm (No. 71)
One atom of each set of equivalent atoms:
Er  0.000  0.219  0.178 (multiplicity 8)
Er  0.178  0.236  0.500 (multiplicity 8)
Er  0.199  0.500  0.254 (multiplicity 8)
Zn  0.000  0.000  0.373 (multiplicity 4)
Zn  0.137  0.000  0.000 (multiplicity 4)
Ga  0.000  0.500  0.000 (multiplicity 2)
Ga  0.000  0.500  0.500 (multiplicity 2)

Values from the calculation:
VASP energy = -0.144 hartree per atom



Entry 15:
ZrGa2Ni2 | PBE | relaxed

abc: 7.322 7.322 2.700
angles: 90.00 90.00 90.00
Space group P4/mbm (No. 127)
One atom of each set of equivalent atoms:
Zr  0.000  0.000  0.000 (multiplicity 2)
Ga  0.129  0.371  0.000 (multiplicity 4)
Ni  0.167  0.667  0.500 (multiplicity 4)

Values from the calculation:
VASP energy = -0.206 hartree per atom



Entry 16:
La2Tb3PmTm6 | PBE | relaxed

abc: 6.187 10.711 11.714
angles: 90.00 100.11 90.00
Space group C2/m (No. 12)
One atom of each set of equivalent atoms:
La  0.000  0.167  0.000 (multiplicity 4)
Tb  0.000  0.000  0.500 (multiplicity 2)
Tb  0.000  0.333  0.500 (multiplicity 4)
Pm  0.000  0.500  0.000 (multiplicity 2)
Tm  0.247  0.500  0.746 (multiplicity 4)
Tm  0.248  0.166  0.746 (multiplicity 8)

Values from the calculation:
VASP energy = -0.169 hartree per atom



Entry 17:
CdSb2TeN | PBE | relaxed

abc: 5.484 5.484 5.495
angles: 90.00 90.00 90.00
Space group P4/mmm (No. 123)
One atom of each set of equivalent atoms:
Cd  0.000  0.000  0.000 (multiplicity 1)
Sb  0.000  0.500  0.000 (multiplicity 2)
Te  0.000  0.000  0.500 (multiplicity 1)
N  0.500  0.500  0.500 (multiplicity 1)

Values from the calculation:
formation energy from raw total energies = 9.67 eV per formula unit



Entry 18:
CrFe2AsH | PBE | relaxed

abc: 3.655 3.655 3.701
angles: 90.00 90.00 90.00
Space group P4/mmm (No. 123)
One atom of each set of equivalent atoms:
Cr  0.000  0.000  0.000 (multiplicity 1)
Fe  0.000  0.500  0.500 (multiplicity 2)
As  0.500  0.500  0.000 (multiplicity 1)
H  0.000  0.000  0.500 (multiplicity 1)

Values from the calculation:
VASP energy = -0.253 hartree per atom



Entry 19:
VW2 | PBE | relaxed

abc: 3.123 3.123 9.339
angles: 90.00 90.00 90.00
Space group I4/mmm (No. 139)
One atom of each set of equivalent atoms:
V  0.000  0.000  0.000 (multiplicity 2)
W  0.000  0.000  0.335 (multiplicity 4)

Values from the calculation:
VASP energy = -0.433 hartree per atom



Entry 20:
La4TmTl5 | PBE | relaxed

abc: 3.834 3.834 20.716
angles: 90.00 90.00 90.00
Space group P4/mmm (No. 123)
One atom of each set of equivalent atoms:
La  0.000  0.000  0.103 (multiplicity 2)
La  0.000  0.000  0.310 (multiplicity 2)
Tm  0.000  0.000  0.500 (multiplicity 1)
Tl  0.500  0.500  0.000 (multiplicity 1)
Tl  0.500  0.500  0.208 (multiplicity 2)
Tl  0.500  0.500  0.414 (multiplicity 2)

Values from the calculation:
VASP energy = -0.147 hartree per atom